*a*
PBE CdTeN2Cl, relaxed; volume = 99.3 Å³/cell; total moment = 0.547 μB per atom; N(E_F) = 0.4119 states/eV/atom
1.0
4.237 0.000 0.000
0.000 4.237 0.000
0.000 0.000 5.534
Cd Te N Cl
1 1 2 1
direct
0.000 0.000 0.000 Cd
0.500 0.500 0.000 Te
0.000 0.500 0.500 N
0.500 0.000 0.500 N
0.500 0.500 0.500 Cl


*b*
PBE CdTeN2Cl, relaxed; volume = 122.0 Å³/cell; total moment = 0.846 μB per atom; N(E_F) = 0.5030 states/eV/atom
1.0
4.347 0.000 0.000
0.000 4.347 0.000
0.000 0.000 6.458
Cd Te N Cl
1 1 2 1
direct
0.000 0.000 0.000 Cd
0.000 0.000 0.500 Te
0.000 0.500 0.000 N
0.500 0.000 0.000 N
0.500 0.500 0.500 Cl


What is the stability order? It is *b*, *a*, from most stable to least stable.